(1)
Ni6Pt3Rh | PBE | relaxed

```
data_Ni6Pt3Rh
_chemical_formula_sum 'Ni12 Pt6 Rh2'
_symmetry_space_group_name_H-M 'P 1 21/m 1'
_symmetry_Int_Tables_number 11
_symmetry_space_group_name_Hall '-P 2yb'
_cell_length_a 6.987
_cell_length_b 4.285
_cell_length_c 9.183
_cell_angle_alpha 90.00
_cell_angle_beta 110.50
_cell_angle_gamma 90.00
loop_
_atom_site_label
_atom_site_fract_x
_atom_site_fract_y
_atom_site_fract_z
_atom_site_occupancy
Ni1 0.002 0.250 0.327 1
Ni2 0.007 0.750 0.171 1
Ni3 0.193 0.250 0.134 1
Ni4 0.203 0.750 0.463 1
Ni5 0.392 0.250 0.931 1
Ni6 0.394 0.750 0.269 1
Pt1 0.186 0.250 0.629 1
Pt2 0.198 0.750 0.973 1
Pt3 0.412 0.750 0.773 1
Rh1 0.392 0.250 0.429 1
```

Properties
As for the excess energy over the best structure of this formula in the dataset: 0.000 eV per atom.

=====

(2)
LiBeZn2 | PBE | relaxed

```
data_LiBeZn2
_chemical_formula_sum 'Li2 Be2 Zn4'
_symmetry_space_group_name_H-M 'I -4 m 2'
_symmetry_Int_Tables_number 119
_symmetry_space_group_name_Hall 'I -4 -2'
_cell_length_a 4.161
_cell_length_b 4.161
_cell_length_c 5.758
_cell_angle_alpha 90.00
_cell_angle_beta 90.00
_cell_angle_gamma 90.00
loop_
_atom_site_label
_atom_site_fract_x
_atom_site_fract_y
_atom_site_fract_z
_atom_site_occupancy
Li1 0.000 0.000 0.000 1
Be1 0.000 0.500 0.250 1
Zn1 0.000 0.000 0.500 1
Zn2 0.000 0.500 0.750 1
```

=====

| no. | Fermi-level density of states (states/eV/atom) | E_form (eV per atom) | DFT total energy (eV for the cell shown) |
| --- | --- | --- | --- |
| 1 | 1.887 | -0.03 | -120.9 |
| 2 | 0.162 | 0.01 | -16.3 |